# CdPAu2 SCAN PBEsol geometry
# V, Å³ per atom: 17.48
# ΔE_f, eV/atom: 0.302
# Distance to the lowest polymorph of the same formula, meV per atom: 222
# Final energy, eV/cell: -711.7
data_CdPAu2
_chemical_formula_sum 'Cd4 P4 Au8'
_cell_length_a 6.5393
_cell_length_b 6.5393
_cell_length_c 6.5393
_cell_angle_alpha 90.00
_cell_angle_beta 90.00
_cell_angle_gamma 90.00
_symmetry_space_group_name_H-M 'F m -3 m'
_symmetry_Int_Tables_number 225
_symmetry_space_group_name_Hall '-F 4 2 3'
loop_
_atom_site_label
_atom_site_type_symbol
_atom_site_fract_x
_atom_site_fract_y
_atom_site_fract_z
Cd1 Cd 0.0000 0.0000 0.0000
P1 P 0.0000 0.0000 0.5000
Au1 Au 0.2500 0.2500 0.2500